No. 1
DFT (PBE-GGA) results for an optimized crystal structure of LiLa4Pm3Se8.

Output
The uncorrected formation energy is -1873 meV per atom. The total magnetization is 0.000 μB per cell. The crystal system is trigonal. The value obtained for the uncorrected energy is -5.858 eV/atom. The space group is R-3m.

abc: 8.4620 8.4620 8.4620
angles: 60.26 60.26 60.26
Positions (direct):
Li 0.0000 0.0000 0.0000
La 0.0000 0.0000 0.5000
La 0.0000 0.5000 0.0000
La 0.5000 0.0000 0.0000
La 0.5000 0.5000 0.5000
Pm 0.0000 0.5000 0.5000
Pm 0.5000 0.0000 0.5000
Pm 0.5000 0.5000 0.0000
Se 0.2416 0.2416 0.7534
Se 0.2416 0.7534 0.2416
Se 0.2466 0.7584 0.7584
Se 0.2524 0.2524 0.2524
Se 0.7476 0.7476 0.7476
Se 0.7534 0.2416 0.2416
Se 0.7584 0.2466 0.7584
Se 0.7584 0.7584 0.2466

***

No. 2
DFT (PBE-GGA) results for an optimized crystal structure of Li2LaPmSe4.

Output
The uncorrected formation energy is -1698 meV per atom. The total magnetization is 0.000 μB per cell. The crystal system is monoclinic. The value obtained for the uncorrected energy is -5.128 eV/atom. The space group is P2/m.

abc: 6.9539 4.2424 7.3486
angles: 90.00 110.56 90.00
Positions (direct):
Li 0.0000 0.0000 0.0000
Li 0.0000 0.5000 0.5000
La 0.5000 0.0000 0.5000
Pm 0.5000 0.5000 0.0000
Se 0.2399 0.5000 0.2417
Se 0.2414 0.0000 0.7522
Se 0.7586 0.0000 0.2478
Se 0.7601 0.5000 0.7583

***

No. 3
DFT (PBE-GGA) results for an optimized crystal structure of LiLa3Pm3Se8.

Output
The uncorrected formation energy is -1873 meV per atom. The total magnetization is 0.000 μB per cell. The crystal system is trigonal. The value obtained for the uncorrected energy is -5.795 eV/atom. The space group is R-3m.

abc: 8.4618 8.4618 8.4618
angles: 59.74 59.74 59.74
Positions (direct):
Li 0.0000 0.0000 0.0000
La 0.0000 0.0000 0.5000
La 0.0000 0.5000 0.0000
La 0.5000 0.0000 0.0000
Pm 0.0000 0.5000 0.5000
Pm 0.5000 0.0000 0.5000
Pm 0.5000 0.5000 0.0000
Se 0.2436 0.2436 0.7519
Se 0.2436 0.7519 0.2436
Se 0.2481 0.7564 0.7564
Se 0.2527 0.2527 0.2527
Se 0.7473 0.7473 0.7473
Se 0.7519 0.2436 0.2436
Se 0.7564 0.2481 0.7564
Se 0.7564 0.7564 0.2481

***

No. 4
DFT (PBE-GGA) results for an optimized crystal structure of LiLa3Pm4Se8.

Output
The uncorrected formation energy is -1857 meV per atom. The total magnetization is 0.000 μB per cell. The crystal system is trigonal. The value obtained for the uncorrected energy is -5.830 eV/atom. The space group is R-3m.

abc: 8.4726 8.4726 8.4726
angles: 59.77 59.77 59.77
Positions (direct):
Li 0.0000 0.0000 0.0000
La 0.0000 0.5000 0.5000
La 0.5000 0.0000 0.5000
La 0.5000 0.5000 0.0000
Pm 0.0000 0.0000 0.5000
Pm 0.0000 0.5000 0.0000
Pm 0.5000 0.0000 0.0000
Pm 0.5000 0.5000 0.5000
Se 0.2399 0.7551 0.7551
Se 0.2449 0.2449 0.7601
Se 0.2449 0.7601 0.2449
Se 0.2476 0.2476 0.2476
Se 0.7524 0.7524 0.7524
Se 0.7551 0.2399 0.7551
Se 0.7551 0.7551 0.2399
Se 0.7601 0.2449 0.2449